Computed, not measured: crystalline SbRuI3 at its relaxed geometry at the PBE level of DFT.

Computed properties:
* total moment: 0.6457 μB per atom
* crystal system: cubic
* energy relative to the lowest polymorph listed for this composition: 0.577 eV per atom
* formation energy without anion corrections: 1070 meV per atom
* raw total energy: -2.539 eV per atom

abc: 6.014 6.014 6.014
angles: 90.00 90.00 90.00
Space group Pm-3m (No. 221)
Unique sites:
Sb 0.000 0.000 0.000 [1 per cell]
Ru 0.500 0.500 0.500 [1 per cell]
I 0.000 0.000 0.500 [3 per cell]